Material: ScSb4Ir
Method: DFT, PBEsol
State: optimized geometry

a b c (Å): 8.3478 8.3478 8.3478
angles (deg): 90.00 90.00 90.00
Space group F-43m (No. 216)
Asymmetric unit:
1 Sc 0.0000 0.0000 0.0000 [4 per cell]
2 Sb 0.1246 0.1246 0.6246 [16 per cell]
3 Ir 0.2500 0.2500 0.2500 [4 per cell]

## Properties
ρ = 8.27 Mg/m³
uncorrected formation energy = 14.804 kcal/mol of atoms

=====

Material: SbIrSe2
Method: DFT, PBEsol
State: optimized geometry

a b c (Å): 5.3190 8.4808 3.5683
angles (deg): 90.00 90.00 90.00
Space group Cmmm (No. 65)
Asymmetric unit:
1 Sb 0.0000 0.0000 0.0000 [2 per cell]
2 Ir 0.0000 0.5000 0.0000 [2 per cell]
3 Se 0.0000 0.2969 0.5000 [4 per cell]

## Properties
ρ = 9.74 Mg/m³
uncorrected formation energy = -2.831 kcal/mol of atoms

=====

Material: SbIrSe2
Method: DFT, PBEsol
State: optimized geometry

a b c (Å): 6.3559 3.6713 7.5010
angles (deg): 90.00 106.30 90.00
Space group Cm (No. 8)
Asymmetric unit:
1 Sb 0.0000 0.0000 0.0000 [2 per cell]
2 Ir 0.2466 0.5000 0.2401 [2 per cell]
3 Se 0.2496 0.0000 0.7474 [2 per cell]
4 Se 0.4695 0.0000 0.4101 [2 per cell]

## Properties
ρ = 9.33 Mg/m³
uncorrected formation energy = -1.276 kcal/mol of atoms

=====

Material: SbIr2Se
Method: DFT, PBEsol
State: optimized geometry

a b c (Å): 2.9270 5.0471 9.1178
angles (deg): 90.00 90.00 90.00
Space group Immm (No. 71)
Asymmetric unit:
1 Sb 0.0000 0.0000 0.0000 [2 per cell]
2 Ir 0.0000 0.5000 0.2435 [4 per cell]
3 Se 0.0000 0.0000 0.5000 [2 per cell]

## Properties
ρ = 14.43 Mg/m³
uncorrected formation energy = 11.319 kcal/mol of atoms

=====

Material: SbIrSe2
Method: DFT, PBEsol
State: optimized geometry

a b c (Å): 3.0548 3.0548 8.6152
angles (deg): 90.00 90.00 90.00
Space group P4/mmm (No. 123)
Asymmetric unit:
1 Sb 0.0000 0.0000 0.0000 [1 per cell]
2 Ir 0.0000 0.0000 0.5000 [1 per cell]
3 Se 0.5000 0.5000 0.3188 [2 per cell]

## Properties
ρ = 9.75 Mg/m³
uncorrected formation energy = 6.548 kcal/mol of atoms

=====

Material: SbIrSe2
Method: DFT, PBEsol
State: optimized geometry

a b c (Å): 3.5526 3.5526 23.6294
angles (deg): 90.00 90.00 120.00
Space group R-3m (No. 166, hexagonal axes)
Asymmetric unit:
1 Sb 0.0000 0.0000 0.0000 [3 per cell]
2 Ir 0.0000 0.0000 0.5000 [3 per cell]
3 Se 0.0000 0.0000 0.2253 [6 per cell]

## Properties
ρ = 9.10 Mg/m³
uncorrected formation energy = -0.868 kcal/mol of atoms

=====

Material: SiSbIr2
Method: DFT, PBEsol
State: optimized geometry

a b c (Å): 5.7925 8.6419 2.9997
angles (deg): 90.00 120.61 90.00
Space group C2/m (No. 12)
Asymmetric unit:
1 Si 0.0000 0.0000 0.0000 [2 per cell]
2 Sb 0.0000 0.5000 0.0000 [2 per cell]
3 Ir 0.2500 0.2500 0.0000 [4 per cell]

## Properties
ρ = 13.73 Mg/m³
uncorrected formation energy = 8.209 kcal/mol of atoms

=====

Material: SiSb2Ir
Method: DFT, PBEsol
State: optimized geometry

a b c (Å): 4.0795 4.0795 17.7790
angles (deg): 90.00 90.00 120.00
Space group R3m (No. 160, hexagonal axes)
Asymmetric unit:
1 Si 0.0000 0.0000 0.0000 [3 per cell]
2 Sb 0.0000 0.0000 0.2364 [3 per cell]
3 Sb 0.0000 0.0000 0.4362 [3 per cell]
4 Ir 0.0000 0.0000 0.6754 [3 per cell]

## Properties
ρ = 9.02 Mg/m³
uncorrected formation energy = -1.051 kcal/mol of atoms

=====

Material: SiSb2Ir
Method: DFT, PBEsol
State: optimized geometry

a b c (Å): 6.3484 7.4873 3.2264
angles (deg): 90.00 97.72 90.00
Space group C2/m (No. 12)
Asymmetric unit:
1 Si 0.0000 0.0000 0.0000 [2 per cell]
2 Sb 0.2500 0.2500 0.5000 [4 per cell]
3 Ir 0.0000 0.5000 0.0000 [2 per cell]

## Properties
ρ = 10.14 Mg/m³
uncorrected formation energy = 9.343 kcal/mol of atoms

=====

Material: SiSbIr
Method: DFT, PBEsol
State: optimized geometry

a b c (Å): 3.5092 3.5092 5.2852
angles (deg): 90.00 90.00 120.00
Space group P3m1 (No. 156)
Asymmetric unit:
1 Si 0.0000 0.0000 0.0000 [1 per cell]
2 Sb 0.6667 0.3333 0.4238 [1 per cell]
3 Ir 0.3333 0.6667 0.7721 [1 per cell]

## Properties
ρ = 10.08 Mg/m³
uncorrected formation energy = -1.746 kcal/mol of atoms

=====

Material: TaSb2Ir
Method: DFT, PBEsol
State: optimized geometry

a b c (Å): 3.0147 3.0147 9.0050
angles (deg): 90.00 90.00 90.00
Space group P4mm (No. 99)
Asymmetric unit:
1 Ta 0.0000 0.0000 0.0000 [1 per cell]
2 Sb 0.0000 0.0000 0.4053 [1 per cell]
3 Sb 0.5000 0.5000 0.7621 [1 per cell]
4 Ir 0.5000 0.5000 0.1972 [1 per cell]

## Properties
ρ = 12.51 Mg/m³
uncorrected formation energy = -2.500 kcal/mol of atoms

=====

Material: TaSb2TeIr
Method: DFT, PBEsol
State: optimized geometry

a b c (Å): 4.9867 4.9867 5.2433
angles (deg): 90.00 90.00 90.00
Space group P4/mmm (No. 123)
Asymmetric unit:
1 Ta 0.0000 0.0000 0.0000 [1 per cell]
2 Sb 0.0000 0.5000 0.5000 [2 per cell]
3 Te 0.5000 0.5000 0.0000 [1 per cell]
4 Ir 0.5000 0.5000 0.5000 [1 per cell]

## Properties
distance to the lowest polymorph of the same formula = 0.000 eV/atom
ρ = 9.48 Mg/m³
uncorrected formation energy = 26.564 kcal/mol of atoms

=====

Material: TaSb2TeIr
Method: DFT, PBEsol
State: optimized geometry

a b c (Å): 5.1978 5.1978 5.1309
angles (deg): 90.00 90.00 90.00
Space group P4/mmm (No. 123)
Asymmetric unit:
1 Ta 0.0000 0.0000 0.0000 [1 per cell]
2 Sb 0.0000 0.5000 0.0000 [2 per cell]
3 Te 0.0000 0.0000 0.5000 [1 per cell]
4 Ir 0.5000 0.5000 0.5000 [1 per cell]

## Properties
distance to the lowest polymorph of the same formula = 0.176 eV/atom
ρ = 8.92 Mg/m³
uncorrected formation energy = 30.615 kcal/mol of atoms

=====

Material: TcSb2Ir
Method: DFT, PBEsol
State: optimized geometry

a b c (Å): 6.5335 6.5335 6.5335
angles (deg): 90.00 90.00 90.00
Space group Fm-3m (No. 225)
Asymmetric unit:
1 Tc 0.0000 0.0000 0.0000 [4 per cell]
2 Sb 0.2500 0.2500 0.2500 [8 per cell]
3 Ir 0.0000 0.0000 0.5000 [4 per cell]

## Properties
distance to the lowest polymorph of the same formula = 0.000 eV/atom
ρ = 12.71 Mg/m³
uncorrected formation energy = 6.215 kcal/mol of atoms

=====

Material: Tc2Sb2Ir
Method: DFT, PBEsol
State: optimized geometry

a b c (Å): 4.0267 4.0267 11.5391
angles (deg): 90.00 90.00 90.00
Space group I4/mmm (No. 139)
Asymmetric unit:
1 Tc 0.0000 0.0000 0.0993 [4 per cell]
2 Sb 0.0000 0.5000 0.2500 [4 per cell]
3 Ir 0.0000 0.0000 0.5000 [2 per cell]

## Properties
ρ = 11.21 Mg/m³
uncorrected formation energy = 20.128 kcal/mol of atoms

=====

Material: TcSbIr4
Method: DFT, PBEsol
State: optimized geometry

a b c (Å): 7.3208 7.3208 7.3208
angles (deg): 90.00 90.00 90.00
Space group F-43m (No. 216)
Asymmetric unit:
1 Tc 0.0000 0.0000 0.0000 [4 per cell]
2 Sb 0.2500 0.2500 0.2500 [4 per cell]
3 Ir 0.1257 0.1257 0.6257 [16 per cell]

## Properties
ρ = 16.74 Mg/m³
uncorrected formation energy = 14.944 kcal/mol of atoms

=====

Material: TcSb2Ir
Method: DFT, PBEsol
State: optimized geometry

a b c (Å): 3.0211 3.0211 30.2615
angles (deg): 90.00 90.00 120.00
Space group R3m (No. 160, hexagonal axes)
Asymmetric unit:
1 Tc 0.0000 0.0000 0.0000 [3 per cell]
2 Sb 0.0000 0.0000 0.2621 [3 per cell]
3 Sb 0.0000 0.0000 0.4726 [3 per cell]
4 Ir 0.0000 0.0000 0.7330 [3 per cell]

## Properties
distance to the lowest polymorph of the same formula = 0.044 eV/atom
ρ = 11.12 Mg/m³
uncorrected formation energy = 7.232 kcal/mol of atoms

=====

Material: Tc2SbIr
Method: DFT, PBEsol
State: optimized geometry

a b c (Å): 2.8880 3.8373 5.5745
angles (deg): 90.00 90.00 90.00
Space group Pmm2 (No. 25)
Asymmetric unit:
1 Tc 0.0000 0.0000 0.0000 [1 per cell]
2 Tc 0.5000 0.5000 0.2211 [1 per cell]
3 Sb 0.5000 0.5000 0.7268 [1 per cell]
4 Ir 0.0000 0.0000 0.4687 [1 per cell]

## Properties
ρ = 13.71 Mg/m³
uncorrected formation energy = 4.865 kcal/mol of atoms

=====

Material: Tc2SbIr
Method: DFT, PBEsol
State: optimized geometry

a b c (Å): 2.9122 2.9122 7.3200
angles (deg): 90.00 90.00 90.00
Space group P4mm (No. 99)
Asymmetric unit:
1 Tc 0.0000 0.0000 0.0000 [1 per cell]
2 Tc 0.5000 0.5000 0.2228 [1 per cell]
3 Sb 0.5000 0.5000 0.7350 [1 per cell]
4 Ir 0.0000 0.0000 0.4735 [1 per cell]

## Properties
ρ = 13.64 Mg/m³
uncorrected formation energy = 4.529 kcal/mol of atoms

=====

Material: TcSbIr
Method: DFT, PBEsol
State: optimized geometry

a b c (Å): 6.0650 6.0650 6.0650
angles (deg): 90.00 90.00 90.00
Space group F-43m (No. 216)
Asymmetric unit:
1 Tc 0.0000 0.0000 0.0000 [4 per cell]
2 Sb 0.2500 0.2500 0.2500 [4 per cell]
3 Ir 0.2500 0.2500 0.7500 [4 per cell]

## Properties
ρ = 12.27 Mg/m³
uncorrected formation energy = 7.017 kcal/mol of atoms

=====

Material: Tc2SbIr
Method: DFT, PBEsol
State: optimized geometry

a b c (Å): 4.5465 4.5465 2.9756
angles (deg): 90.00 90.00 90.00
Space group P4/mmm (No. 123)
Asymmetric unit:
1 Tc 0.0000 0.5000 0.0000 [2 per cell]
2 Sb 0.0000 0.0000 0.5000 [1 per cell]
3 Ir 0.5000 0.5000 0.5000 [1 per cell]

## Properties
ρ = 13.77 Mg/m³
uncorrected formation energy = 5.600 kcal/mol of atoms

=====

Material: TcSb2Ir
Method: DFT, PBEsol
State: optimized geometry

a b c (Å): 6.6267 6.6267 6.6267
angles (deg): 90.00 90.00 90.00
Space group F-43m (No. 216)
Asymmetric unit:
1 Tc 0.0000 0.0000 0.0000 [4 per cell]
2 Sb 0.0000 0.0000 0.5000 [4 per cell]
3 Sb 0.2500 0.2500 0.7500 [4 per cell]
4 Ir 0.2500 0.2500 0.2500 [4 per cell]

## Properties
distance to the lowest polymorph of the same formula = 0.445 eV/atom
ρ = 12.18 Mg/m³
uncorrected formation energy = 16.487 kcal/mol of atoms

=====

Material: Sb2TeIr
Method: DFT, PBEsol
State: optimized geometry

a b c (Å): 5.1270 5.1270 3.3023
angles (deg): 90.00 90.00 90.00
Space group P4/mmm (No. 123)
Asymmetric unit:
1 Sb 0.0000 0.5000 0.0000 [2 per cell]
2 Te 0.0000 0.0000 0.5000 [1 per cell]
3 Ir 0.5000 0.5000 0.5000 [1 per cell]

## Properties
ρ = 10.78 Mg/m³
uncorrected formation energy = 11.952 kcal/mol of atoms

=====

Material: Sb2TeIr
Method: DFT, PBEsol
State: optimized geometry

a b c (Å): 3.6767 3.6109 14.5563
angles (deg): 90.00 90.00 90.00
Space group Amm2 (No. 38)
Asymmetric unit:
1 Sb 0.0000 0.0000 0.0000 [2 per cell]
2 Sb 0.5000 0.0000 0.3703 [2 per cell]
3 Te 0.0000 0.0000 0.6939 [2 per cell]
4 Ir 0.5000 0.0000 0.5637 [2 per cell]

## Properties
ρ = 9.68 Mg/m³
uncorrected formation energy = 2.090 kcal/mol of atoms

=====

Material: Sb2TeIr
Method: DFT, PBEsol
State: optimized geometry

a b c (Å): 3.0873 3.2628 9.1460
angles (deg): 90.00 90.00 90.00
Space group Pmm2 (No. 25)
Asymmetric unit:
1 Sb 0.0000 0.0000 0.0000 [1 per cell]
2 Sb 0.5000 0.5000 0.3059 [1 per cell]
3 Te 0.5000 0.5000 0.6832 [1 per cell]
4 Ir 0.0000 0.0000 0.4924 [1 per cell]

## Properties
ρ = 10.15 Mg/m³
uncorrected formation energy = 4.453 kcal/mol of atoms

=====

Material: SbTe2Ir
Method: DFT, PBEsol
State: optimized geometry

a b c (Å): 3.1809 3.1809 9.2167
angles (deg): 90.00 90.00 90.00
Space group P4/mmm (No. 123)
Asymmetric unit:
1 Sb 0.0000 0.0000 0.0000 [1 per cell]
2 Te 0.5000 0.5000 0.3119 [2 per cell]
3 Ir 0.0000 0.0000 0.5000 [1 per cell]

## Properties
ρ = 10.14 Mg/m³
uncorrected formation energy = 6.895 kcal/mol of atoms

=====

Material: Ti3SbIr
Method: DFT, PBEsol
State: optimized geometry

a b c (Å): 4.7077 4.7077 4.7077
angles (deg): 90.00 90.00 90.00
Space group Pm-3m (No. 221)
Asymmetric unit:
1 Ti 0.0000 0.0000 0.5000 [3 per cell]
2 Sb 0.5000 0.5000 0.5000 [1 per cell]
3 Ir 0.0000 0.0000 0.0000 [1 per cell]

## Properties
ρ = 7.28 Mg/m³
uncorrected formation energy = 0.977 kcal/mol of atoms

=====

Material: TlSbIr4
Method: DFT, PBEsol
State: optimized geometry

a b c (Å): 7.4821 7.4821 7.4821
angles (deg): 90.00 90.00 90.00
Space group F-43m (No. 216)
Asymmetric unit:
1 Tl 0.0000 0.0000 0.0000 [4 per cell]
2 Sb 0.2500 0.2500 0.7500 [4 per cell]
3 Ir 0.1251 0.1251 0.3749 [16 per cell]

## Properties
ρ = 17.36 Mg/m³
uncorrected formation energy = 11.608 kcal/mol of atoms

=====

Material: TlSb2Ir2
Method: DFT, PBEsol
State: optimized geometry

a b c (Å): 4.1002 4.1002 13.9937
angles (deg): 90.00 90.00 90.00
Space group I4/mmm (No. 139)
Asymmetric unit:
1 Tl 0.0000 0.0000 0.0000 [2 per cell]
2 Sb 0.0000 0.0000 0.3641 [4 per cell]
3 Ir 0.0000 0.5000 0.2500 [4 per cell]

## Properties
ρ = 11.75 Mg/m³
uncorrected formation energy = -0.322 kcal/mol of atoms

=====

Material: SbIrW
Method: DFT, PBEsol
State: optimized geometry

a b c (Å): 6.1223 6.1223 6.1223
angles (deg): 90.00 90.00 90.00
Space group F-43m (No. 216)
Asymmetric unit:
1 Sb 0.0000 0.0000 0.0000 [4 per cell]
2 Ir 0.2500 0.2500 0.2500 [4 per cell]
3 W 0.2500 0.2500 0.7500 [4 per cell]

## Properties
ρ = 14.41 Mg/m³
uncorrected formation energy = 21.969 kcal/mol of atoms